[1]
This record from Alexandria via LeMat-Bulk describes Ba6AgIrAu2 after structural relaxation. The functional is PBE.

crystal system = trigonal
total DFT energy (no corrections) = -3.356 eV/atom
space-group type = R3
calculated formation energy = -376 meV per atom
total magnetic moment = 0.00 μB per formula unit

Cell: 8.963 8.963 8.963 Å, 54.06 54.06 54.06°
Fractional positions:
Ba 0.000 0.313 0.687
Ba 0.150 0.846 0.533
Ba 0.313 0.687 0.000
Ba 0.533 0.150 0.846
Ba 0.687 0.000 0.313
Ba 0.846 0.533 0.150
Ag 0.421 0.421 0.421
Ir 0.923 0.923 0.923
Au 0.256 0.256 0.256
Au 0.746 0.746 0.746

---

[2]
This record from Alexandria via LeMat-Bulk describes AlBSb2As after structural relaxation. The functional is PBE.

crystal system = tetragonal
total DFT energy (no corrections) = -3.301 eV/atom
formation energy (no corrections) = 1.362 eV per atom
space-group type = P4/mmm
total magnetic moment = 0.00 μB per formula unit

Cell: 5.295 5.295 4.715 Å, 90.00 90.00 90.00°
Fractional positions:
Al 0.000 0.000 0.000
B 0.500 0.500 0.500
Sb 0.000 0.500 0.000
Sb 0.500 0.000 0.000
As 0.000 0.000 0.500

---

[3]
This record from Alexandria via LeMat-Bulk describes CaIn2Pt after structural relaxation. The functional is PBE.

crystal system = monoclinic
total DFT energy (no corrections) = -3.858 eV/atom
space-group type = C2/m
calculated formation energy = -478 meV per atom
total magnetic moment = 0.00 μB per formula unit

Cell: 4.999 4.999 5.577 Å, 106.04 106.04 45.55°
Fractional positions:
Ca 0.000 0.000 0.000
In 0.225 0.225 0.690
In 0.775 0.775 0.310
Pt 0.500 0.500 0.500

---

[4]
This record from Alexandria via LeMat-Bulk describes PmDy3Pd2 after structural relaxation. The functional is PBE.

crystal system = monoclinic
total DFT energy (no corrections) = -5.321 eV/atom
energy above the most stable polymorph in this dataset = 79 meV/atom
space-group type = C2/m
calculated formation energy = -497 meV per atom
total magnetic moment = 0.00 μB per formula unit

Cell: 8.164 8.164 8.320 Å, 109.74 109.74 37.02°
Fractional positions:
Pm 0.145 0.145 0.227
Pm 0.855 0.855 0.773
Dy 0.065 0.065 0.743
Dy 0.314 0.314 0.003
Dy 0.375 0.375 0.486
Dy 0.625 0.625 0.514
Dy 0.686 0.686 0.997
Dy 0.935 0.935 0.257
Pd 0.219 0.219 0.627
Pd 0.494 0.494 0.830
Pd 0.506 0.506 0.170
Pd 0.781 0.781 0.373

---

[5]
This record from Alexandria via LeMat-Bulk describes K2MgTiF6 after structural relaxation. The functional is PBE.

crystal system = trigonal
total DFT energy (no corrections) = -5.324 eV/atom
formation energy (no corrections) = -3.032 eV per atom
space-group type = R-3m
total magnetic moment = 2.00 μB per formula unit

Cell: 5.894 5.894 5.894 Å, 59.39 59.39 59.39°
Fractional positions:
K 0.248 0.248 0.248
K 0.752 0.752 0.752
Mg 0.000 0.000 0.000
Ti 0.500 0.500 0.500
F 0.243 0.243 0.756
F 0.243 0.756 0.243
F 0.244 0.757 0.757
F 0.756 0.243 0.243
F 0.757 0.244 0.757
F 0.757 0.757 0.244

---

[6]
This record from Alexandria via LeMat-Bulk describes LiCa2Ta after structural relaxation. The functional is PBE.

crystal system = tetragonal
total DFT energy (no corrections) = -3.953 eV/atom
energy above the most stable polymorph in this dataset = 0 meV/atom
space-group type = P4/mmm
calculated formation energy = 489 meV per atom
total magnetic moment = 0.00 μB per formula unit

Cell: 3.246 3.246 10.032 Å, 90.00 90.00 90.00°
Fractional positions:
Li 0.000 0.000 0.000
Ca 0.500 0.500 0.267
Ca 0.500 0.500 0.733
Ta 0.000 0.000 0.500

---

[7]
This record from Alexandria via LeMat-Bulk describes CdP2Os after structural relaxation. The functional is PBE.

crystal system = orthorhombic
total DFT energy (no corrections) = -5.383 eV/atom
energy above the most stable polymorph in this dataset = 359 meV/atom
space-group type = Cmmm
calculated formation energy = 359 meV per atom
total magnetic moment = 0.00 μB per formula unit

Cell: 2.873 2.873 10.223 Å, 90.00 90.00 120.74°
Fractional positions:
Cd 0.000 0.000 0.000
P 0.500 0.500 0.309
P 0.500 0.500 0.691
Os 0.000 0.000 0.500

---

[8]
This record from Alexandria via LeMat-Bulk describes RbIrPt2 after structural relaxation. The functional is PBE.

crystal system = cubic
total DFT energy (no corrections) = -4.416 eV/atom
energy above the most stable polymorph in this dataset = 639 meV/atom
space-group type = Fm-3m
calculated formation energy = 1061 meV per atom
total magnetic moment = 1.58 μB per formula unit

Cell: 4.769 4.769 4.769 Å, 60.00 60.00 60.00°
Fractional positions:
Rb 0.000 0.000 0.000
Ir 0.500 0.500 0.500
Pt 0.250 0.250 0.250
Pt 0.750 0.750 0.750

---

[9]
This record from Alexandria via LeMat-Bulk describes Sm6IO12 after structural relaxation. The functional is PBE.

crystal system = trigonal
total DFT energy (no corrections) = -7.541 eV/atom
formation energy (no corrections) = -2.838 eV per atom
space-group type = R-3
total magnetic moment = 0.00 μB per formula unit

Cell: 6.685 6.685 6.685 Å, 98.55 98.55 98.55°
Fractional positions:
Sm 0.111 0.645 0.815
Sm 0.185 0.889 0.355
Sm 0.355 0.185 0.889
Sm 0.645 0.815 0.111
Sm 0.815 0.111 0.645
Sm 0.889 0.355 0.185
I 0.500 0.500 0.500
O 0.064 0.322 0.907
O 0.093 0.936 0.678
O 0.200 0.535 0.434
O 0.322 0.907 0.064
O 0.434 0.200 0.535
O 0.465 0.566 0.800
O 0.535 0.434 0.200
O 0.566 0.800 0.465
O 0.678 0.093 0.936
O 0.800 0.465 0.566
O 0.907 0.064 0.322
O 0.936 0.678 0.093

---

[10]
This record from Alexandria via LeMat-Bulk describes AgSnCl after structural relaxation. The functional is PBE.

crystal system = orthorhombic
total DFT energy (no corrections) = -3.093 eV/atom
formation energy (no corrections) = -0.193 eV per atom
space-group type = Amm2
total magnetic moment = 0.00 μB per formula unit

Cell: 12.384 3.658 3.658 Å, 60.59 90.00 90.00°
Fractional positions:
Ag 0.000 0.000 0.000
Ag 0.500 0.016 0.016
Sn 0.168 0.335 0.335
Sn 0.832 0.335 0.335
Cl 0.356 0.679 0.679
Cl 0.644 0.679 0.679

---

[11]
This record from Alexandria via LeMat-Bulk describes RbTlAgRh2 after structural relaxation. The functional is PBE.

crystal system = tetragonal
total DFT energy (no corrections) = -2.346 eV/atom
space-group type = P4/mmm
calculated formation energy = 1831 meV per atom
total magnetic moment = 0.00 μB per formula unit

Cell: 4.926 4.926 5.871 Å, 90.00 90.00 90.00°
Fractional positions:
Rb 0.000 0.000 0.000
Tl 0.000 0.000 0.500
Ag 0.500 0.500 0.500
Rh 0.000 0.500 0.000
Rh 0.500 0.000 0.000

---

[12]
This record from Alexandria via LeMat-Bulk describes La6TbPm2Sc after structural relaxation. The functional is PBE.

crystal system = monoclinic
total DFT energy (no corrections) = -4.800 eV/atom
space-group type = C2/m
calculated formation energy = 202 meV per atom
total magnetic moment = 0.00 μB per formula unit

Cell: 6.707 6.707 9.249 Å, 105.80 105.80 61.96°
Fractional positions:
La 0.066 0.533 0.192
La 0.127 0.127 0.417
La 0.467 0.934 0.808
La 0.533 0.066 0.192
La 0.873 0.873 0.583
La 0.934 0.467 0.808
Tb 0.500 0.500 0.500
Pm 0.429 0.429 0.830
Pm 0.571 0.571 0.170
Sc 0.000 0.000 0.000

---

Number 1: theoretical density 5.7 g/cm³, D(E_F) 5.799 states/eV per cell. Number 2: theoretical density 4.5 g/cm³, D(E_F) 4.677 states/eV per cell. Number 3: theoretical density 8.1 g/cm³, D(E_F) 2.198 states/eV per cell. Number 4: theoretical density 9.0 g/cm³, D(E_F) 10.752 states/eV per cell. Number 5: theoretical density 3.1 g/cm³, D(E_F) 3.603 states/eV per cell. Number 6: theoretical density 4.2 g/cm³, D(E_F) 3.470 states/eV per cell. Number 7: theoretical density 8.3 g/cm³, D(E_F) 2.393 states/eV per cell. Number 8: theoretical density 14.5 g/cm³, D(E_F) 3.023 states/eV per cell. Number 9: theoretical density 7.0 g/cm³, D(E_F) 4.168 states/eV per cell. Number 10: theoretical density 6.0 g/cm³, D(E_F) 1.655 states/eV per cell. Number 11: theoretical density 7.0 g/cm³, D(E_F) 5.360 states/eV per cell. Number 12: theoretical density 6.3 g/cm³, D(E_F) 17.054 states/eV per cell.